(1)
Entry from Alexandria: a geometry-optimized ScZnIn2Ni structure (PBE-GGA).

abc: 4.837 4.837 4.578
angles: 90.00 90.00 90.00
Space group P4/mmm (No. 123)
One atom of each set of equivalent atoms:
Sc1 0.000 0.000 0.000 [1 per cell]
Zn1 0.500 0.500 0.000 [1 per cell]
In1 0.000 0.500 0.500 [2 per cell]
Ni1 0.500 0.500 0.500 [1 per cell]

Summary:
energy of formation: -9 meV/atom
calculated density: 6.2 g/cm3

=====

(2)
Entry from Alexandria: a geometry-optimized LaSc2Ru structure (PBE-GGA).

abc: 3.4125 3.4125 28.7501
angles: 90.00 90.00 120.00
Space group R3m (No. 160, hexagonal axes)
One atom of each set of equivalent atoms:
La1 0.0000 0.0000 0.0000 [3 per cell]
Sc1 0.0000 0.0000 0.2320 [3 per cell]
Sc2 0.0000 0.0000 0.4707 [3 per cell]
Ru1 0.0000 0.0000 0.7411 [3 per cell]

Summary:
energy of formation: 65 meV/atom
calculated density: 5.7 g/cm3

=====

(3)
Entry from Alexandria: a geometry-optimized Ba2AlSiAu6 structure (PBE-GGA).

abc: 6.916 7.104 7.120
angles: 60.09 60.95 89.92
Space group P-1 (No. 2)
One atom of each set of equivalent atoms:
Ba1 0.211 0.211 0.076 [2 per cell]
Al1 0.500 0.000 0.500 [1 per cell]
Si1 0.000 0.500 0.500 [1 per cell]
Au1 0.247 0.744 0.008 [2 per cell]
Au2 0.291 0.704 0.500 [2 per cell]
Au3 0.295 0.298 0.498 [2 per cell]

Summary:
formation energy from raw total energies: -0.544 eV/atom
calculated density: 10.0 g/cm3

=====

(4)
Entry from Alexandria: a geometry-optimized AcPu2Ga structure (PBE-GGA).

abc: 4.653 4.653 5.170
angles: 90.00 90.00 90.00
Space group P4/mmm (No. 123)
One atom of each set of equivalent atoms:
Ac1 0.000 0.000 0.000 [1 per cell]
Pu1 0.000 0.500 0.500 [2 per cell]
Ga1 0.500 0.500 0.000 [1 per cell]

Summary:
energy of formation: -20 meV/atom
calculated density: 11.6 g/cm3

=====

Which value of calculated density does entry 3 give?
10.0 g/cm3

=====

The lowest calculated density belongs to which entry?
LaSc2Ru

=====

Which of these has the lowest calculated density?
LaSc2Ru

=====

Among the records above, which one has the lowest calculated density?
LaSc2Ru